# Ta4W11

A geometry-optimized Ta4W11 structure (PBE, the Open Quantum Materials Database).

Cell lengths 9.9094, 9.9094, 5.1871 Å; angles 90.00, 90.00, 90.00 degrees
Fractional positions:
Ta  0.0600  0.2595  0.0000
Ta  0.2405  0.5600  0.5000
Ta  0.2595  0.0600  0.0000
Ta  0.4400  0.7595  0.5000
Ta  0.5600  0.2405  0.5000
Ta  0.7405  0.9400  0.0000
Ta  0.7595  0.4400  0.5000
Ta  0.9400  0.7405  0.0000
W  0.0000  0.0000  0.0000
W  0.0334  0.3690  0.5000
W  0.1010  0.1010  0.5000
W  0.1310  0.5334  0.0000
W  0.1882  0.8118  0.2508
W  0.1882  0.8118  0.7492
W  0.3118  0.3118  0.2492
W  0.3118  0.3118  0.7508
W  0.3690  0.0334  0.5000
W  0.3990  0.6010  0.0000
W  0.4666  0.8690  0.0000
W  0.5000  0.5000  0.5000
W  0.5334  0.1310  0.0000
W  0.6010  0.3990  0.0000
W  0.6310  0.9666  0.5000
W  0.6882  0.6882  0.2492
W  0.6882  0.6882  0.7508
W  0.8118  0.1882  0.2508
W  0.8118  0.1882  0.7492
W  0.8690  0.4666  0.0000
W  0.8990  0.8990  0.5000
W  0.9666  0.6310  0.5000

The formation energy comes out at 0.1678 eV/atom.

=====

# NaAcNd

A geometry-optimized NaAcNd structure (PBE, the Open Quantum Materials Database).

Cell lengths 5.6368, 5.6368, 5.6368 Å; angles 60.00, 60.00, 60.00 degrees
Fractional positions:
Na  0.0000  0.0000  0.0000
Ac  0.7500  0.7500  0.7500
Nd  0.2500  0.2500  0.2500

The value obtained for the energy above the most stable polymorph in this dataset is 0 meV per atom.

=====

Q: Which calculated density values were calculated for the entries above? A: 17.90; 5.17, in g/cm3.